Record 1
Entry from Alexandria via LeMat-Bulk: crystalline ZnB3H3O7 at its relaxed geometry (GGA-PBEsol).

Computed properties:
Space-group type: P2_1/c (14)
Crystal system: monoclinic

Cell: 6.8295 7.5981 9.7124 Å, 90.00 90.00 106.82°
With the nearest neighbours (Å) after each atom.
Sites, in units of the cell vectors:
1 O 0.0404 0.2721 0.0300  2 B 1.44-1.45, 1 H 1.57
2 O 0.1074 0.3406 0.2741  2 B 1.36-1.47
3 O 0.2882 0.7421 0.6469  1 H 1.01
4 O 0.5447 0.4660 0.7065  2 B 1.39-1.52
5 O 0.9596 0.7279 0.9700  2 B 1.44-1.45, 1 H 1.57
6 O 0.6906 0.0834 0.0671  2 B 1.37-1.48
7 O 0.1934 0.3198 0.6491  1 H 0.99
8 O 0.9553 0.0340 0.2065  2 B 1.39-1.52
9 O 0.8926 0.6594 0.7259  2 B 1.36-1.47
10 O 0.2118 0.7579 0.1469  1 H 1.01
11 O 0.7550 0.4055 0.0582  1 H 1.03
12 O 0.7450 0.0945 0.5582  1 H 1.03
13 O 0.5404 0.7721 0.4700  2 B 1.44-1.45, 1 H 1.57
14 O 0.6934 0.8198 0.8509  1 H 0.99
15 O 0.8066 0.6802 0.3509  1 H 0.99
16 O 0.3926 0.1594 0.7741  2 B 1.36-1.47
17 O 0.1906 0.5834 0.4329  2 B 1.37-1.48
18 O 0.4596 0.2279 0.5300  2 B 1.44-1.45, 1 H 1.57
19 O 0.6074 0.8406 0.2259  2 B 1.36-1.47
20 O 0.3094 0.9166 0.9329  2 B 1.37-1.48
21 O 0.8094 0.4166 0.5671  2 B 1.37-1.48
22 O 0.7882 0.2421 0.8531  1 H 1.01
23 O 0.2550 0.9055 0.4418  1 H 1.03
24 O 0.4553 0.5340 0.2935  2 B 1.39-1.52
25 O 0.7118 0.2579 0.3531  1 H 1.01
26 O 0.0447 0.9660 0.7935  2 B 1.39-1.52
27 O 0.3066 0.1802 0.1491  1 H 0.99
28 O 0.2450 0.5945 0.9418  1 H 1.03
29 Zn 0.4318 0.6502 0.7906  4 O 1.91-1.97
30 Zn 0.0682 0.8498 0.2906  4 O 1.91-1.97
31 Zn 0.5682 0.3498 0.2094  4 O 1.91-1.97
32 Zn 0.9318 0.1502 0.7094  4 O 1.91-1.97
33 H 0.6371 0.2090 0.8326  1 O 1.01
34 H 0.1692 0.4653 0.9765  1 O 1.03
35 H 0.1371 0.7090 0.6674  1 O 1.01
36 H 0.3208 0.0948 0.0749  1 O 0.99
37 H 0.6692 0.9653 0.5235  1 O 1.03
38 H 0.8208 0.5948 0.4251  1 O 0.99
39 H 0.3629 0.7910 0.1674  1 O 1.01
40 H 0.8308 0.5347 0.0235  1 O 1.03
41 H 0.6792 0.9052 0.9251  1 O 0.99
42 H 0.8629 0.2910 0.3326  1 O 1.01
43 H 0.3308 0.0347 0.4765  1 O 1.03
44 H 0.1792 0.4052 0.5749  1 O 0.99
45 B 0.8952 0.7864 0.8405  4 O 1.44-1.52
46 B 0.3254 0.7517 0.4962  4 O 1.45-1.48
47 B 0.7501 0.5133 0.6697  3 O 1.36-1.39
48 B 0.1048 0.2136 0.1595  4 O 1.44-1.52
49 B 0.3952 0.2864 0.6595  4 O 1.44-1.52
50 B 0.7499 0.9867 0.1697  3 O 1.36-1.39
51 B 0.2501 0.0133 0.8303  3 O 1.36-1.39
52 B 0.8254 0.2517 0.0038  4 O 1.45-1.48
53 B 0.6746 0.2483 0.5038  4 O 1.45-1.48
54 B 0.1746 0.7483 0.9962  4 O 1.45-1.48
55 B 0.6048 0.7136 0.3405  4 O 1.44-1.52
56 B 0.2499 0.4867 0.3303  3 O 1.36-1.39



Record 2
Entry from Alexandria via LeMat-Bulk: crystalline Zn8B3H3O14 at its relaxed geometry (GGA-PBEsol).

Computed properties:
Space-group type: R32 (155)
Crystal system: trigonal

Cell: 7.5117 7.5117 7.5117 Å, 65.66 65.66 65.66°
With the nearest neighbours (Å) after each atom.
Sites, in units of the cell vectors:
1 Zn 0.4080 0.4080 0.4080  4 O 1.97-1.98
2 Zn 0.4820 0.2300 0.0441  4 O 1.93-1.97
3 Zn 0.2300 0.0441 0.4820  4 O 1.93-1.97
4 Zn 0.7700 0.5180 0.9559  4 O 1.93-1.97
5 Zn 0.5180 0.9559 0.7700  4 O 1.93-1.97
6 Zn 0.0441 0.4820 0.2300  4 O 1.93-1.97
7 Zn 0.9559 0.7700 0.5180  4 O 1.93-1.97
8 Zn 0.5920 0.5920 0.5920  4 O 1.97-1.98
9 O 0.5000 0.9684 0.0316  1 B 1.39
10 O 0.0000 0.7424 0.2576  1 H 0.97
11 O 0.8183 0.3909 0.4577  1 B 1.38
12 O 0.0316 0.5000 0.9684  1 B 1.39
13 O 0.9684 0.0316 0.5000  1 B 1.39
14 O 0.4577 0.8183 0.3909  1 B 1.38
15 O 0.7039 0.7039 0.7039  4 Zn 1.95-1.97
16 O 0.2576 0.0000 0.7424  1 H 0.97
17 O 0.3909 0.4577 0.8183  1 B 1.38
18 O 0.7424 0.2576 0.0000  1 H 0.97
19 O 0.5423 0.6091 0.1817  1 B 1.38
20 O 0.1817 0.5423 0.6091  1 B 1.38
21 O 0.6091 0.1817 0.5423  1 B 1.38
22 O 0.2961 0.2961 0.2961  4 Zn 1.95-1.97
23 B 0.7978 0.2022 0.5000  3 O 1.38-1.39
24 B 0.2022 0.5000 0.7978  3 O 1.38-1.39
25 B 0.5000 0.7978 0.2022  3 O 1.38-1.39
26 H 0.8611 0.1389 0.0000  1 O 0.97
27 H 0.0000 0.8611 0.1389  1 O 0.97
28 H 0.1389 0.0000 0.8611  1 O 0.97



Record 3
Entry from Alexandria via LeMat-Bulk: crystalline BPHS2 at its relaxed geometry (GGA-PBEsol).

Computed properties:
Space-group type: P4/mmm (123)
Crystal system: tetragonal

Cell: 3.8967 4.1761 4.1761 Å, 90.00 90.00 90.00°
With the nearest neighbours (Å) after each atom.
Sites, in units of the cell vectors:
1 B 0.0000 0.0000 0.0000  2 P 1.95, 4 S 2.09
2 S 0.0000 0.0000 0.5000  2 B 2.09
3 S 0.0000 0.5000 0.0000  2 B 2.09
4 H 0.5000 0.5000 0.5000  8 S 2.86, 4 P 2.95
5 P 0.5000 0.0000 0.0000  2 B 1.95



| no. | total DFT energy (no corrections) (eV per cell) |
| --- | --- |
| 1 | -383.2 |
| 2 | -162.5 |
| 3 | -19.1 |